First-principles (GGA-PBE) data for a relaxed structure of SrHg2Sb, as listed in Alexandria.

Values from the calculation:
M_tot (μB/f.u.): 0.00
Space-group type: No. 71
DOS at the Fermi energy (states/eV/f.u.): 0.88
Energy relative to the elements, uncorrected (meV/atom): -464

The structure in extended XYZ format:
```
4
Lattice="-0.727 -4.376 3.931 4.321 0.318 4.044 -3.750 4.106 -2.050" Properties=species:S:1:pos:R:3 pbc="T T T"
Sb -1.340 -1.149 2.934
Hg 0.002 -0.002 0.005
Hg 1.795 -2.026 3.983
Sr 1.184 1.198 2.990
```


First-principles (GGA-PBE) data for a relaxed structure of SrHg2Sb, as listed in Alexandria.

Values from the calculation:
M_tot (μB/f.u.): 0.00
Space-group type: No. 166
DOS at the Fermi energy (states/eV/f.u.): 1.05
Energy relative to the elements, uncorrected (meV/atom): -422

The structure in extended XYZ format:
```
4
Lattice="6.098 -0.135 -0.088 4.104 4.512 -0.088 4.104 1.761 4.156" Properties=species:S:1:pos:R:3 pbc="T T T"
Sb 3.577 1.535 0.995
Hg 14.164 6.077 3.941
Hg 7.296 3.130 2.030
Sr 10.730 4.604 2.985
```


First-principles (GGA-PBE) data for a relaxed structure of SrHg2Sb, as listed in Alexandria.

Values from the calculation:
M_tot (μB/f.u.): 0.00
Space-group type: No. 216
DOS at the Fermi energy (states/eV/f.u.): 1.84
Energy relative to the elements, uncorrected (meV/atom): -403

The structure in extended XYZ format:
```
4
Lattice="-4.635 1.335 -2.691 -4.457 -3.237 0.403 -4.426 1.732 2.815" Properties=species:S:1:pos:R:3 pbc="T T T"
Sb -6.759 -0.085 0.263
Hg 0.000 0.000 0.000
Hg -3.380 -0.043 0.132
Sr -10.139 -0.128 0.395
```


First-principles (GGA-PBE) data for a relaxed structure of SrHg2Sb, as listed in Alexandria.

Values from the calculation:
M_tot (μB/f.u.): 0.00
Space-group type: No. 65
DOS at the Fermi energy (states/eV/f.u.): 1.74
Energy relative to the elements, uncorrected (meV/atom): -430

The structure in extended XYZ format:
```
4
Lattice="5.622 0.000 0.000 0.000 4.773 -0.013 0.000 0.071 4.766" Properties=species:S:1:pos:R:3 pbc="T T T"
Sb 2.811 1.211 1.188
Hg 0.000 0.094 0.092
Hg 0.000 2.328 2.285
Sr 2.811 3.633 3.565
```


First-principles (GGA-PBE) data for a relaxed structure of Sr2Hg5Sb, as listed in Alexandria.

Values from the calculation:
M_tot (μB/f.u.): 0.00
Space-group type: No. 63
DOS at the Fermi energy (states/eV/f.u.): 2.90
Energy relative to the elements, uncorrected (meV/atom): -425

The structure in extended XYZ format:
```
16
Lattice="4.840 0.000 0.000 -2.420 9.512 0.000 0.000 0.000 10.234" Properties=species:S:1:pos:R:3 pbc="T T T"
Sr 2.420 5.774 7.675
Sr 0.000 3.738 2.558
Sr 0.000 0.000 0.000
Sr 0.000 0.000 5.117
Hg 0.000 3.703 9.177
Hg 2.420 5.809 1.057
Hg 0.000 3.703 6.174
Hg 2.420 5.809 4.060
Hg 0.000 6.732 9.868
Hg 2.420 2.780 0.366
Hg 0.000 6.732 5.482
Hg 2.420 2.780 4.751
Hg 2.420 2.119 7.675
Hg 0.000 7.394 2.558
Sb 0.000 8.731 7.675
Sb 2.420 0.781 2.558
```


First-principles (GGA-PBE) data for a relaxed structure of SrHg2Sb, as listed in Alexandria.

Values from the calculation:
M_tot (μB/f.u.): 0.00
Space-group type: No. 123
DOS at the Fermi energy (states/eV/f.u.): 2.22
Energy relative to the elements, uncorrected (meV/atom): -347

The structure in extended XYZ format:
```
4
Lattice="-2.314 3.383 0.348 -0.949 -1.043 3.864 5.446 3.492 2.281" Properties=species:S:1:pos:R:3 pbc="T T T"
Hg 0.114 0.073 0.048
Hg 2.609 1.673 1.093
Sb -0.270 2.042 2.676
Sr 2.452 3.788 3.816
```